(1)
The following is a DFT calculation (PBE-GGA) of a relaxed structure of SrFeCo2.

Cell lengths 5.114, 5.114, 2.804 Å; angles 79.39, 79.39, 113.04 degrees
Last column: magnetic moment on the atom in μB.
Element x y z (fractional)
Fe 0.500 0.000 0.500  2.73
Co 0.000 0.000 0.000  1.52
Sr 0.000 0.500 0.500  -0.16
Co 0.500 0.500 0.000  1.52

Computed properties:
Density of states at the Fermi level in states/eV/f.u.: 4.55
SG: C2/m
Polymorph energy (0 for the lowest one) in eV per formula unit: 2.67

---

(2)
The following is a DFT calculation (PBE-GGA) of a relaxed structure of Sr2TlFeCo.

Cell lengths 5.821, 4.383, 5.821 Å; angles 90.00, 90.00, 90.00 degrees
Last column: magnetic moment on the atom in μB.
Element x y z (fractional)
Fe 0.000 0.500 0.000  2.88
Co 0.000 0.000 0.000  1.19
Tl 0.500 0.500 0.500  -0.05
Sr 0.000 0.000 0.500  -0.06
Sr 0.500 0.000 0.000  -0.06

Computed properties:
Calculated total energy in eV/atom: -3.9100
Density of states at the Fermi level in states/eV/f.u.: 4.75
SG: P4/mmm

---

(3)
The following is a DFT calculation (PBE-GGA) of a relaxed structure of SrY2FeCo.

Cell lengths 5.488, 4.379, 5.488 Å; angles 90.00, 90.00, 90.00 degrees
Last column: magnetic moment on the atom in μB.
Element x y z (fractional)
Y 0.000 0.000 0.500  -0.04
Fe 0.500 0.500 0.500  -0.02
Co 0.000 0.500 0.000  -0.77
Y 0.500 0.000 0.000  -0.02
Sr 0.000 0.000 0.000  0.04

Computed properties:
Calculated total energy in eV/atom: -4.0657
Density of states at the Fermi level in states/eV/f.u.: 7.30
SG: P4/mmm

---

(4)
The following is a DFT calculation (PBE-GGA) of a relaxed structure of Ta2FeCo.

Cell lengths 4.326, 4.326, 4.326 Å; angles 60.00, 60.00, 60.00 degrees
Last column: magnetic moment on the atom in μB.
Element x y z (fractional)
Fe 0.750 0.750 0.750  1.40
Ta 0.000 0.000 0.000  -0.34
Ta 0.250 0.250 0.250  -0.13
Co 0.500 0.500 0.500  0.18

Computed properties:
Calculated total energy in eV/atom: -9.6928
Density of states at the Fermi level in states/eV/f.u.: 4.88
SG: F-43m

---

(5)
The following is a DFT calculation (PBE-GGA) of a relaxed structure of Ta6FeCo5.

Cell lengths 4.339, 6.172, 6.863 Å; angles 90.00, 108.45, 90.00 degrees
Last column: magnetic moment on the atom in μB.
Element x y z (fractional)
Co 0.333 0.500 0.666  1.34
Ta 0.166 0.750 0.333  0.17
Ta 0.834 0.750 0.667  0.17
Ta 0.166 0.250 0.333  0.17
Co 0.333 0.000 0.665  1.33
Ta 0.500 0.751 0.000  0.11
Co 0.667 0.500 0.334  1.34
Ta 0.834 0.250 0.667  0.17
Co 0.000 0.500 0.000  1.32
Fe 0.000 0.000 0.000  1.35
Ta 0.500 0.249 0.000  0.11
Co 0.667 0.000 0.335  1.33

Computed properties:
Calculated total energy in eV/atom: -9.6976
Density of states at the Fermi level in states/eV/f.u.: 11.82
SG: Cmmm

---

(6)
The following is a DFT calculation (PBE-GGA) of a relaxed structure of TaFe3Co.

Cell lengths 4.212, 4.212, 4.212 Å; angles 90.00, 90.00, 90.00 degrees
Last column: magnetic moment on the atom in μB.
Element x y z (fractional)
Fe 0.000 0.000 0.500  2.48
Fe 0.500 0.000 0.000  2.11
Co 0.000 0.000 0.000  1.34
Fe 0.000 0.500 0.000  2.37
Ta 0.500 0.500 0.500  -0.80

Computed properties:
Density of states at the Fermi level in states/eV/f.u.: 5.80
SG: Pm-3m
Polymorph energy (0 for the lowest one) in eV per formula unit: 0.00

---

(7)
The following is a DFT calculation (PBE-GGA) of a relaxed structure of Ta2FeCo3.

Cell lengths 4.806, 4.806, 4.743 Å; angles 90.01, 120.44, 119.98 degrees
Last column: magnetic moment on the atom in μB.
Element x y z (fractional)
Co 0.500 0.500 0.500  0.44
Ta 0.747 0.374 0.121  -0.17
Ta 0.253 0.626 0.879  -0.17
Co 0.500 0.000 0.500  0.45
Co 0.000 0.000 0.500  0.44
Fe 0.000 0.000 0.000  1.81

Computed properties:
Calculated total energy in eV/atom: -9.1383
Density of states at the Fermi level in states/eV/f.u.: 5.11
SG: R-3m

---

(8)
The following is a DFT calculation (PBE-GGA) of a relaxed structure of TaFe2Co2.

Cell lengths 6.797, 6.797, 2.705 Å; angles 90.00, 90.00, 90.00 degrees
Last column: magnetic moment on the atom in μB.
Element x y z (fractional)
Co 0.867 0.633 0.000  1.05
Fe 0.339 0.161 0.500  2.24
Fe 0.839 0.339 0.500  2.24
Fe 0.161 0.661 0.500  2.24
Ta 0.000 0.000 0.000  -0.40
Ta 0.500 0.500 0.000  -0.40
Fe 0.661 0.839 0.500  2.24
Co 0.367 0.867 0.000  1.05
Co 0.633 0.133 0.000  1.05
Co 0.133 0.367 0.000  1.05

Computed properties:
Density of states at the Fermi level in states/eV/f.u.: 4.42
SG: P4/mbm
Polymorph energy (0 for the lowest one) in eV per formula unit: 0.00

---

(9)
The following is a DFT calculation (PBE-GGA) of a relaxed structure of TaFeCo.

Cell lengths 4.025, 4.025, 4.025 Å; angles 60.00, 60.00, 60.00 degrees
Last column: magnetic moment on the atom in μB.
Element x y z (fractional)
Fe 0.000 0.000 0.000  2.50
Ta 0.500 0.500 0.500  -0.33
Co 0.750 0.750 0.750  0.72

Computed properties:
Density of states at the Fermi level in states/eV/f.u.: 4.34
SG: F-43m
Polymorph energy (0 for the lowest one) in eV per formula unit: 1.71

---

(10)
The following is a DFT calculation (PBE-GGA) of a relaxed structure of TaFeCo.

Cell lengths 4.196, 4.196, 2.657 Å; angles 90.00, 90.00, 120.00 degrees
Last column: magnetic moment on the atom in μB.
Element x y z (fractional)
Fe 0.333 0.667 0.307  2.15
Co 0.000 0.000 0.029  1.37
Ta 0.667 0.333 0.665  -0.23

Computed properties:
Density of states at the Fermi level in states/eV/f.u.: 3.42
SG: P3m1
Polymorph energy (0 for the lowest one) in eV per formula unit: 0.71

---

(11)
The following is a DFT calculation (PBE-GGA) of a relaxed structure of TaFeCo5.

Cell lengths 3.908, 3.908, 5.804 Å; angles 90.00, 90.00, 90.00 degrees
Last column: magnetic moment on the atom in μB.
Element x y z (fractional)
Ta 0.000 0.000 0.500  -0.39
Fe 0.500 0.500 0.000  2.46
Co 0.000 0.500 0.222  1.14
Co 0.500 0.500 0.500  1.36
Co 0.500 0.000 0.778  1.14
Co 0.000 0.500 0.778  1.14
Co 0.500 0.000 0.222  1.14

Computed properties:
Calculated total energy in eV/atom: -7.8165
Density of states at the Fermi level in states/eV/f.u.: 9.15
SG: P4/mmm

---

(12)
The following is a DFT calculation (PBE-GGA) of a relaxed structure of TaFe6Co.

Cell lengths 6.479, 6.479, 11.392 Å; angles 90.00, 90.00, 125.16 degrees
Last column: magnetic moment on the atom in μB.
Element x y z (fractional)
Fe 0.134 0.379 0.379  1.76
Fe 0.388 0.132 0.870  -2.28
Ta 0.751 0.249 0.250  -0.40
Fe 0.500 0.500 0.750  -2.50
Fe 0.612 0.868 0.870  -2.28
Co 0.246 0.754 0.750  -1.74
Fe 0.388 0.132 0.630  -2.28
Fe 0.500 0.500 0.250  2.36
Fe 0.750 0.250 0.000  2.38
Fe 0.866 0.621 0.121  1.76
Co 0.500 0.500 0.987  -1.31
Fe 0.621 0.866 0.121  1.76
Fe 0.000 0.000 0.750  -2.51
Ta 0.000 0.000 0.506  0.01
Fe 0.134 0.379 0.121  1.76
Fe 0.868 0.612 0.870  -2.28
Co 0.500 0.500 0.513  -1.31
Fe 0.250 0.750 0.500  2.38
Fe 0.866 0.621 0.379  1.76
Fe 0.868 0.612 0.630  -2.28
Fe 0.132 0.388 0.870  -2.28
Ta 0.249 0.751 0.250  -0.40
Fe 0.132 0.388 0.630  -2.28
Fe 0.621 0.866 0.379  1.76
Co 0.754 0.246 0.750  -1.74
Fe 0.612 0.868 0.630  -2.28
Fe 0.000 0.000 0.250  2.51
Fe 0.750 0.250 0.500  2.38
Fe 0.250 0.750 0.000  2.38
Fe 0.379 0.134 0.121  1.76
Ta 0.000 0.000 0.994  0.01
Fe 0.379 0.134 0.379  1.76

Computed properties:
Calculated total energy in eV/atom: -8.6588
Density of states at the Fermi level in states/eV/f.u.: 8.02
SG: Cmmm

---

(13)
The following is a DFT calculation (PBE-GGA) of a relaxed structure of Ta2FeCo.

Cell lengths 4.007, 3.014, 4.992 Å; angles 72.53, 90.00, 90.00 degrees
Element x y z (fractional)
Ta 0.500 0.267 0.340
Ta 0.000 0.984 0.907
Fe 0.500 0.534 0.807
Co 0.000 0.714 0.446

Computed properties:
Calculated total energy in eV/atom: -9.9933
Density of states at the Fermi level in states/eV/f.u.: 3.56
SG: Pm

---

(14)
The following is a DFT calculation (PBE-GGA) of a relaxed structure of TaFeCo.

Cell lengths 4.761, 4.761, 4.761 Å; angles 142.06, 142.15, 54.67 degrees
Last column: magnetic moment on the atom in μB.
Element x y z (fractional)
Co 0.995 0.995 0.000  1.21
Ta 0.667 0.667 0.000  -0.27
Fe 0.338 0.338 0.000  2.07

Computed properties:
Density of states at the Fermi level in states/eV/f.u.: 3.51
SG: I4mm
Polymorph energy (0 for the lowest one) in eV per formula unit: 0.45

---

(15)
The following is a DFT calculation (PBE-GGA) of a relaxed structure of Ta2Fe3Co.

Cell lengths 4.765, 4.765, 4.824 Å; angles 89.99, 119.60, 120.02 degrees
Last column: magnetic moment on the atom in μB.
Element x y z (fractional)
Ta 0.754 0.377 0.130  -0.29
Fe 0.500 0.000 0.500  1.45
Co 0.000 0.000 0.000  0.50
Ta 0.246 0.623 0.870  -0.29
Fe 0.000 0.000 0.500  1.45
Fe 0.500 0.500 0.500  1.45

Computed properties:
Calculated total energy in eV/atom: -9.5764
Density of states at the Fermi level in states/eV/f.u.: 8.11
SG: R-3m

---

(16)
The following is a DFT calculation (PBE-GGA) of a relaxed structure of Ta3FeCo.

Cell lengths 4.514, 4.514, 4.514 Å; angles 90.00, 90.00, 90.00 degrees
Element x y z (fractional)
Co 0.500 0.500 0.500
Ta 0.500 0.000 0.000
Fe 0.000 0.000 0.000
Ta 0.000 0.000 0.500
Ta 0.000 0.500 0.000

Computed properties:
Density of states at the Fermi level in states/eV/f.u.: 7.05
SG: Pm-3m
Polymorph energy (0 for the lowest one) in eV per formula unit: 0.00

---

(17)
The following is a DFT calculation (PBE-GGA) of a relaxed structure of Ta6Fe5Co.

Cell lengths 4.332, 6.150, 7.513 Å; angles 114.16, 106.76, 90.00 degrees
Last column: magnetic moment on the atom in μB.
Element x y z (fractional)
Fe 0.335 0.835 0.670  1.23
Ta 0.500 0.252 0.000  -0.11
Fe 0.333 0.333 0.666  1.19
Ta 0.833 0.083 0.665  -0.13
Co 0.000 0.000 0.000  1.21
Fe 0.665 0.165 0.330  1.23
Fe 0.667 0.667 0.334  1.19
Ta 0.500 0.748 0.000  -0.11
Fe 0.000 0.500 0.000  1.24
Ta 0.167 0.917 0.335  -0.13
Ta 0.167 0.418 0.335  -0.13
Ta 0.833 0.582 0.665  -0.13

Computed properties:
Calculated total energy in eV/atom: -10.1921
Density of states at the Fermi level in states/eV/f.u.: 8.81
SG: Immm

---

(18)
The following is a DFT calculation (PBE-GGA) of a relaxed structure of Ta2FeCo.

Cell lengths 5.156, 5.156, 5.156 Å; angles 144.86, 131.62, 61.18 degrees
Last column: magnetic moment on the atom in μB.
Element x y z (fractional)
Ta 0.746 0.246 0.500  -0.13
Ta 0.008 0.008 0.000  -0.08
Fe 0.246 0.746 0.500  1.26
Co 0.500 0.500 0.000  0.91

Computed properties:
Calculated total energy in eV/atom: -9.8238
Density of states at the Fermi level in states/eV/f.u.: 4.39
SG: Imm2

---

(19)
The following is a DFT calculation (PBE-GGA) of a relaxed structure of TaFeCo.

Cell lengths 4.027, 4.027, 4.027 Å; angles 60.00, 60.00, 60.00 degrees
Last column: magnetic moment on the atom in μB.
Element x y z (fractional)
Ta 0.750 0.750 0.750  -0.21
Co 0.000 0.000 0.000  0.38
Fe 0.500 0.500 0.500  0.96

Computed properties:
Density of states at the Fermi level in states/eV/f.u.: 4.89
SG: F-43m
Polymorph energy (0 for the lowest one) in eV per formula unit: 2.51

---

(20)
The following is a DFT calculation (PBE-GGA) of a relaxed structure of TaFe2Co2.

Cell lengths 6.814, 6.814, 2.706 Å; angles 90.00, 90.00, 90.00 degrees
Last column: magnetic moment on the atom in μB.
Element x y z (fractional)
Fe 0.355 0.855 0.000  2.20
Co 0.350 0.150 0.500  1.21
Ta 0.500 0.500 0.000  -0.41
Fe 0.855 0.645 0.000  2.20
Co 0.650 0.850 0.500  1.21
Co 0.150 0.650 0.500  1.23
Fe 0.145 0.355 0.000  2.20
Ta 0.000 0.000 0.000  -0.41
Co 0.850 0.350 0.500  1.23
Fe 0.645 0.145 0.000  2.20

Computed properties:
Density of states at the Fermi level in states/eV/f.u.: 4.12
SG: P4/mbm
Polymorph energy (0 for the lowest one) in eV per formula unit: 0.10

---

(21)
The following is a DFT calculation (PBE-GGA) of a relaxed structure of TaFe3Co.

Cell lengths 4.456, 4.456, 4.456 Å; angles 90.00, 90.00, 90.00 degrees
Last column: magnetic moment on the atom in μB.
Element x y z (fractional)
Fe 0.500 0.000 0.000  1.81
Fe 0.000 0.500 0.000  2.10
Fe 0.000 0.000 0.500  2.05
Ta 0.000 0.000 0.000  -0.59
Co 0.500 0.500 0.500  -0.26

Computed properties:
Density of states at the Fermi level in states/eV/f.u.: 11.42
SG: Pm-3m
Polymorph energy (0 for the lowest one) in eV per formula unit: 4.50

---

(22)
The following is a DFT calculation (PBE-GGA) of a relaxed structure of TaFe5Co6.

Cell lengths 3.963, 6.075, 6.251 Å; angles 90.00, 108.44, 90.00 degrees
Last column: magnetic moment on the atom in μB.
Element x y z (fractional)
Fe 0.329 0.000 0.658  2.58
Co 0.831 0.265 0.662  1.49
Co 0.169 0.265 0.338  1.49
Co 0.169 0.735 0.338  1.49
Fe 0.334 0.500 0.667  2.81
Fe 0.671 0.000 0.342  2.58
Co 0.831 0.735 0.662  1.49
Ta 0.000 0.000 0.000  -0.42
Co 0.500 0.268 0.000  1.39
Fe 0.000 0.500 0.000  2.76
Co 0.500 0.732 0.000  1.39
Fe 0.666 0.500 0.333  2.81

Computed properties:
Calculated total energy in eV/atom: -8.1007
Density of states at the Fermi level in states/eV/f.u.: 10.42
SG: Cmmm

---

(23)
The following is a DFT calculation (PBE-GGA) of a relaxed structure of Ta2FeCo.

Cell lengths 3.119, 3.119, 6.054 Å; angles 90.00, 90.00, 90.00 degrees
Last column: magnetic moment on the atom in μB.
Element x y z (fractional)
Fe 0.500 0.500 0.742  1.96
Ta 0.000 0.000 0.972  -0.28
Ta 0.500 0.500 0.278  -0.10
Co 0.000 0.000 0.507  1.09

Computed properties:
Calculated total energy in eV/atom: -9.8951
Density of states at the Fermi level in states/eV/f.u.: 3.89
SG: P4mm

---

(24)
The following is a DFT calculation (PBE-GGA) of a relaxed structure of Ta2FeCo.

Cell lengths 6.661, 6.661, 5.445 Å; angles 52.29, 52.29, 90.00 degrees
Element x y z (fractional)
Ta 0.375 0.376 0.750
Ta 0.875 0.874 0.750
Ta 0.624 0.125 0.250
Co 0.750 0.250 0.500
Ta 0.126 0.625 0.250
Fe 0.250 0.750 0.500
Fe 0.500 0.500 0.000
Co 0.000 0.000 0.000

Computed properties:
Calculated total energy in eV/atom: -9.3934
Density of states at the Fermi level in states/eV/f.u.: 7.01
SG: I-42d

---

(25)
The following is a DFT calculation (PBE-GGA) of a relaxed structure of TaFeCo.

Cell lengths 4.736, 4.783, 4.783 Å; angles 60.72, 60.33, 60.33 degrees
Last column: magnetic moment on the atom in μB.
Element x y z (fractional)
Fe 0.000 0.000 0.000  1.54
Co 0.500 0.000 0.500  0.50
Fe 0.500 0.000 0.000  1.54
Co 0.500 0.500 0.000  0.50
Ta 0.878 0.372 0.372  -0.26
Ta 0.122 0.628 0.628  -0.26

Computed properties:
Density of states at the Fermi level in states/eV/f.u.: 3.10
SG: Imma
Polymorph energy (0 for the lowest one) in eV per formula unit: 0.00

---

(26)
The following is a DFT calculation (PBE-GGA) of a relaxed structure of Ta3Fe4Co.

Cell lengths 4.913, 5.098, 5.088 Å; angles 95.52, 95.54, 117.57 degrees
Last column: magnetic moment on the atom in μB.
Element x y z (fractional)
Fe 0.642 0.133 0.242  1.91
Ta 0.874 0.369 0.731  -0.27
Co 0.519 0.500 0.000  1.23
Ta 0.164 0.631 0.269  -0.27
Fe 0.395 0.867 0.758  1.91
Fe 0.272 0.242 0.503  2.06
Ta 0.019 0.000 0.000  -0.20
Fe 0.765 0.758 0.497  2.06

Computed properties:
Calculated total energy in eV/atom: -9.5723
Density of states at the Fermi level in states/eV/f.u.: 6.94
SG: P-1